No. 1
Compound: BaDyAl4Pd2
Source: OQMD via LeMat-Bulk
Functional: PBE
Structure: relaxed

Output
crystal system = orthorhombic

Unit cell a=7.3828 b=5.9150 c=5.9150 alpha=42.13 beta=90.00 gamma=90.00
Atoms (fractional coordinates):
Ba1 0.0000 0.0000 0.0000
Dy1 0.5000 0.8925 0.8925
Al1 0.2039 0.2797 0.2797
Al2 0.3170 0.6172 0.6172
Al3 0.6830 0.6172 0.6172
Al4 0.7961 0.2797 0.2797
Pd1 0.0000 0.7270 0.7270
Pd2 0.5000 0.1639 0.1639

No. 2
Compound: LaMgSi2Tc
Source: OQMD via LeMat-Bulk
Functional: PBE
Structure: relaxed

Output
crystal system = tetragonal

Unit cell a=6.2745 b=6.2745 c=6.2745 alpha=141.21 beta=141.21 gamma=56.02
Atoms (fractional coordinates):
La1 0.0000 0.0000 0.0000
Mg1 0.2500 0.7500 0.5000
Si1 0.3865 0.3865 0.0000
Si2 0.6135 0.6135 0.0000
Tc1 0.7500 0.2500 0.5000

No. 3
Compound: LaEr3Cu4
Source: OQMD via LeMat-Bulk
Functional: PBE
Structure: relaxed

Output
crystal system = monoclinic

Unit cell a=5.4164 b=4.4790 c=7.1278 alpha=90.00 beta=91.25 gamma=90.00
Atoms (fractional coordinates):
La1 0.0000 0.0000 0.0000
Er1 0.2701 0.5000 0.3692
Er2 0.4971 0.5000 0.8565
Er3 0.7638 0.0000 0.5010
Cu1 0.0012 0.5000 0.7012
Cu2 0.2653 0.0000 0.6389
Cu3 0.5031 0.0000 0.1530
Cu4 0.7475 0.5000 0.2234

No. 4
Compound: CsPrSmSe3
Source: OQMD via LeMat-Bulk
Functional: PBE
Structure: relaxed

Output
crystal system = orthorhombic

Unit cell a=8.5669 b=8.5669 c=11.3862 alpha=90.00 beta=90.00 gamma=147.78
Atoms (fractional coordinates):
Cs1 0.2397 0.7603 0.7500
Cs2 0.7603 0.2397 0.2500
Pr1 0.0286 0.9714 0.2500
Pr2 0.9714 0.0286 0.7500
Sm1 0.5000 0.5000 0.0000
Sm2 0.5000 0.5000 0.5000
Se1 0.1152 0.8848 0.0344
Se2 0.1152 0.8848 0.4656
Se3 0.4351 0.5649 0.2500
Se4 0.5649 0.4351 0.7500
Se5 0.8848 0.1152 0.5344
Se6 0.8848 0.1152 0.9656

No. 5
Compound: Ta2Co
Source: OQMD via LeMat-Bulk
Functional: PBE
Structure: relaxed

Output
crystal system = tetragonal

Unit cell a=4.9854 b=4.9854 c=4.9854 alpha=104.33 beta=104.33 gamma=120.34
Atoms (fractional coordinates):
Ta1 0.1610 0.6610 0.8219
Ta2 0.3390 0.1610 0.5000
Ta3 0.6610 0.8390 0.5000
Ta4 0.8390 0.3390 0.1781
Co1 0.2500 0.2500 0.0000
Co2 0.7500 0.7500 0.0000

No. 6
Compound: GdNi4Ag
Source: OQMD via LeMat-Bulk
Functional: PBE
Structure: relaxed

Output
crystal system = cubic

Unit cell a=4.9436 b=4.9436 c=4.9436 alpha=60.00 beta=60.00 gamma=60.00
Atoms (fractional coordinates):
Gd1 0.0000 0.0000 0.0000
Ni1 0.1266 0.6245 0.6245
Ni2 0.6245 0.1266 0.6245
Ni3 0.6245 0.6245 0.1266
Ni4 0.6245 0.6245 0.6245
Ag1 0.2500 0.2500 0.2500

Number 1: total moment 0.012 μB per cell, calculated density 5.95 g/cm3, total DFT energy (no corrections) -4.571 eV/atom. Number 2: total moment 0.083 μB per cell, calculated density 5.48 g/cm3, total DFT energy (no corrections) -5.963 eV/atom. Number 3: total moment 0.004 μB per cell, calculated density 8.60 g/cm3, total DFT energy (no corrections) -4.429 eV/atom. Number 4: total moment 0.113 μB per cell, calculated density 4.93 g/cm3, total DFT energy (no corrections) -4.998 eV/atom. Number 5: total moment 0.003 μB per cell, calculated density 15.06 g/cm3, total DFT energy (no corrections) -10.521 eV/atom. Number 6: total moment 0.940 μB per cell, calculated density 9.72 g/cm3, total DFT energy (no corrections) -5.246 eV/atom.